Record 1
ErTiBe2: relaxed, PBE.

```
4
Lattice="-0.791 2.816 -1.188 -3.054 -0.680 0.421 0.237 2.487 5.736" Properties=species:S:1:pos:R:3 pbc="T T T"
Be 0.191 2.000 4.613
Be 0.046 0.487 1.123
Ti -1.922 1.068 -0.384
Er -1.804 2.311 2.484
```

***

Record 2
ErTiBe: relaxed, PBE.

```
6
Lattice="-0.401 2.651 -3.601 1.940 -2.364 0.842 -6.821 -7.223 -4.558" Properties=species:S:1:pos:R:3 pbc="T T T"
Be 0.476 0.922 -2.173
Be -2.735 -4.015 -2.651
Er -1.778 -1.464 -3.679
Er -4.092 -3.914 -5.225
Ti -5.296 -6.728 -4.363
Ti -0.172 -1.303 -0.940
```

***

Record 3
ErTiBe4: relaxed, PBE.

```
6
Lattice="-0.968 4.236 -1.978 -4.409 1.810 0.274 -0.856 3.790 2.774" Properties=species:S:1:pos:R:3 pbc="T T T"
Be -3.459 4.269 -0.687
Be -1.726 5.234 0.532
Be -3.876 6.117 0.666
Be -3.404 4.052 1.630
Ti -1.558 2.459 0.268
Er 0.000 0.000 0.000
```

***

Record 4
ErTiBe10: relaxed, PBE.

```
12
Lattice="-1.274 0.891 -3.142 -0.455 -4.400 -1.063 -7.241 0.038 2.946" Properties=species:S:1:pos:R:3 pbc="T T T"
Er -3.848 -2.181 0.942
Ti 0.000 0.000 0.000
Be -2.282 0.012 0.928
Be -6.378 -2.168 1.971
Be -1.319 -2.194 -0.088
Be -4.959 0.026 2.018
Be -4.257 0.464 -0.098
Be -0.864 -1.755 -2.102
Be -2.441 -0.605 -1.137
Be -6.529 -2.867 -0.121
Be -2.677 -2.887 -1.688
Be -6.293 -0.584 0.430
```

***

Record 5
ErTiBe17: relaxed, PBE.

```
19
Lattice="5.634 0.012 0.679 0.603 5.602 0.679 0.014 0.012 5.675" Properties=species:S:1:pos:R:3 pbc="T T T"
Er 4.131 3.718 4.647
Ti 2.089 1.881 2.350
Be 1.622 0.030 4.227
Be 4.174 1.610 0.694
Be 0.450 3.982 2.106
Be 2.039 3.982 0.694
Be 0.200 1.610 4.227
Be 4.008 0.030 2.106
Be 2.429 4.750 2.732
Be 2.130 1.917 5.265
Be 4.979 1.917 2.732
Be 3.795 0.918 4.268
Be 4.085 3.677 1.802
Be 1.311 3.677 4.268
Be 0.314 2.794 0.353
Be 0.021 0.019 2.834
Be 2.812 0.019 0.353
Be 5.666 5.099 6.373
Be 0.628 0.565 0.706
```

***

Record 6
ErTiBeZn: relaxed, PBE.

```
4
Lattice="-1.424 -4.373 -0.449 3.063 -3.455 0.163 0.084 -2.843 3.641" Properties=species:S:1:pos:R:3 pbc="T T T"
Be 1.293 -8.003 2.516
Zn 0.431 -2.668 0.839
Ti 0.000 0.000 0.000
Er 0.862 -5.335 1.677
```

***

Record 7
Er2BeTl: relaxed, PBE.

```
4
Lattice="-3.090 -0.046 1.684 -0.631 -3.231 -1.246 3.268 -2.920 5.916" Properties=species:S:1:pos:R:3 pbc="T T T"
Be -1.861 -1.639 0.219
Tl -0.227 -3.098 3.177
Er 2.557 -2.285 4.629
Er 0.711 -0.635 1.287
```

***

Record 8
ErTmBeTl: relaxed, PBE.

```
4
Lattice="-1.377 4.544 -1.817 -4.926 1.205 -0.367 -2.004 3.483 3.115" Properties=species:S:1:pos:R:3 pbc="T T T"
Be -4.153 4.616 0.465
Tl 0.000 0.000 0.000
Tm -6.230 6.924 0.698
Er -2.077 2.308 0.233
```

***

Record 9
Er2TmBe: relaxed, PBE.

```
4
Lattice="-2.764 -1.147 -1.674 0.905 -3.228 0.718 -4.474 0.339 7.156" Properties=species:S:1:pos:R:3 pbc="T T T"
Be -0.930 -2.187 -0.478
Tm -3.167 -2.018 3.100
Er -3.605 0.273 5.765
Er -0.870 0.066 1.391
```

***

Record 10
Er2TmBe: relaxed, PBE.

```
4
Lattice="-2.920 1.691 0.169 -2.905 -1.568 -0.723 -3.033 -2.924 10.633" Properties=species:S:1:pos:R:3 pbc="T T T"
Be 0.000 0.000 0.000
Tm -4.429 -1.400 5.040
Er -2.756 -2.171 7.886
Er -6.102 -0.630 2.194
```

***

Record 11
ErTm2Be: relaxed, PBE.

```
4
Lattice="-0.107 2.873 -1.843 -2.766 1.008 1.732 4.957 3.832 5.687" Properties=species:S:1:pos:R:3 pbc="T T T"
Be -1.436 1.941 -0.056
Tm 3.999 3.091 4.587
Tm 0.959 0.741 1.100
Er 1.042 3.857 2.788
```

***

Record 12
ErTmBe4: relaxed, PBE.

```
6
Lattice="4.987 0.000 0.000 2.494 4.319 0.000 2.494 1.440 4.072" Properties=species:S:1:pos:R:3 pbc="T T T"
Be 4.987 2.879 0.507
Be 4.987 1.438 2.546
Be 6.235 3.600 2.546
Be 3.739 3.600 2.546
Tm 2.494 1.440 1.018
Er 0.000 0.000 0.000
```

***

Fermi-level density of states: 0.411, 1.247, 0.753, 0.203, 0.217, 0.949, 0.459, 1.032, 1.010, 0.852, 1.017, 0.554 (states/eV per atom)
Calculated formation energy: 3, 162, 11, -174, -165, -1, -119, -27, 62, 673, 56, 60 (meV/atom)